Entry 1:
Here is crystalline KCa2SbF8 at its relaxed geometry from the Alexandria database. Energies are from PBE.

Cell: 4.060 5.702 7.874 Å, 90.00 90.00 90.01°
Atoms (fractional coordinates):
F 0.500 0.234 0.000
F 0.000 0.262 0.782
F 0.500 0.723 0.500
F 0.000 0.738 0.782
F 0.000 0.262 0.218
F 0.500 0.277 0.500
F 0.000 0.738 0.218
F 0.500 0.766 0.000
K 0.000 0.000 0.500
Sb 0.000 0.000 0.000
Ca 0.500 0.500 0.739
Ca 0.500 0.500 0.261

* raw formation energy: -306.7 kJ/mol of atoms

---

Entry 2:
Here is crystalline KCa2ScF8 at its relaxed geometry from the Alexandria database. Energies are from PBE.

Cell: 4.100 5.508 7.651 Å, 90.00 90.00 94.74°
Atoms (fractional coordinates):
F 0.547 0.777 0.000
F 0.453 0.223 0.000
F 0.033 0.751 0.203
F 0.521 0.275 0.500
F 0.033 0.751 0.797
F 0.967 0.249 0.203
F 0.479 0.725 0.500
F 0.967 0.249 0.797
K 0.000 0.000 0.500
Ca 0.500 0.500 0.252
Ca 0.500 0.500 0.748
Sc 0.000 0.000 0.000

* raw formation energy: -356.8 kJ/mol of atoms

---

Entry 3:
Here is crystalline KCaSeF2 at its relaxed geometry from the Alexandria database. Energies are from PBE.

Cell: 4.523 4.523 6.042 Å, 90.00 90.00 90.00°
Last column: magnetic moment on the atom in μB.
Atoms (fractional coordinates):
Se 0.000 0.000 0.500  0.54
F 0.500 0.000 0.000  0.02
F 0.000 0.500 0.000  0.02
K 0.500 0.500 0.500  0.01
Ca 0.000 0.000 0.000  0.00

* raw formation energy: -228.8 kJ/mol of atoms